(1)
First-principles (PBE) data for crystalline LiMg at its relaxed geometry, as listed in Alexandria via LeMat-Bulk.

Results
M_tot   0.000 μB/cell
Space-group type   I-43m
Density   0.5 g cm⁻³
Electronic total energy   -2.272 eV per formula unit

```
LiMg
1.0
-7.719 -2.141 4.591
3.755 -8.034 2.567
3.400 4.014 7.588
Li Mg
8 8
Cartesian
-2.709 -0.102 10.263
-0.394 -4.309 10.313
-0.112 -1.228 2.940
1.186 -0.252 7.459
4.190 -3.646 9.046
1.328 -5.056 5.457
-2.496 -7.346 7.244
-3.247 -2.706 6.264
-1.147 -4.748 7.323
2.807 -6.870 3.697
1.466 -3.301 8.027
-0.216 -2.357 5.641
-0.498 -5.437 13.014
-1.230 -1.917 8.502
-5.971 -2.361 5.245
2.535 2.347 7.537
```

(2)
First-principles (PBE) data for crystalline Ac2PmErSe6 at its relaxed geometry, as listed in Alexandria via LeMat-Bulk.

Results
M_tot   0.000 μB/cell
Space-group type   R3
Density   6.3 g cm⁻³
Formation energy (no corrections)   -1.916 eV/atom

```
Ac2PmErSe6
1.0
7.608 0.000 0.000
3.804 6.589 0.000
3.803 2.196 6.549
Se Er Pm Ac
6 1 1 2
Cartesian
6.228 1.817 1.701
8.911 6.181 5.013
10.528 4.485 1.701
5.407 4.628 5.013
6.067 6.875 1.701
8.504 2.369 5.013
3.804 2.196 0.303
11.411 6.589 3.612
7.608 4.392 2.746
3.803 2.196 6.043
```

(3)
First-principles (PBE) data for crystalline Pm12Tm7Tl at its relaxed geometry, as listed in Alexandria via LeMat-Bulk.

Results
M_tot   0.234 μB/cell
Space-group type   R-3
Density   7.9 g cm⁻³
Electronic total energy   -87.348 eV per formula unit

```
Pm12Tm7Tl
1.0
8.431 1.657 -1.292
-1.718 8.419 -1.292
1.104 1.657 8.458
Pm Tm Tl
12 7 1
Cartesian
6.782 6.322 1.483
5.496 3.038 3.192
0.140 6.867 1.105
7.677 4.865 4.769
3.257 6.242 -0.228
2.809 2.774 5.728
5.008 8.958 0.146
1.903 8.072 6.048
1.034 5.410 4.391
4.559 5.490 6.102
5.914 3.661 -0.173
2.321 8.694 2.683
7.173 8.191 6.061
4.548 10.368 5.204
7.156 9.774 2.922
3.908 5.866 2.937
3.268 1.364 0.670
0.644 3.541 -0.186
0.661 1.958 2.953
0.000 0.000 0.000
```

(4)
First-principles (PBE) data for crystalline HgTe2S at its relaxed geometry, as listed in Alexandria via LeMat-Bulk.

Results
M_tot   0.000 μB/cell
Excess energy over the best structure of this formula in the dataset   0.1061 eV per atom
Space-group type   R-3m
Density   7.4 g cm⁻³
Formation energy (no corrections)   0.320 eV/atom

```
HgTe2S
1.0
-1.108 4.664 9.298
1.157 2.128 10.176
2.337 5.139 8.806
Te Hg S
2 1 1
Cartesian
0.242 1.209 2.866
2.144 10.723 25.415
0.000 0.000 0.000
1.193 5.966 14.140
```

(5)
First-principles (PBE) data for crystalline Np2IrAu at its relaxed geometry, as listed in Alexandria via LeMat-Bulk.

Results
M_tot   8.262 μB/cell
Space-group type   P4/mmm
Density   16.6 g cm⁻³
Electronic total energy   -38.656 eV per formula unit

```
Np2IrAu
1.0
3.302 0.000 0.000
0.000 3.302 0.000
0.000 0.000 7.904
Au Np Ir
1 2 1
Cartesian
1.651 1.651 3.952
0.000 0.000 1.765
0.000 0.000 6.139
1.651 1.651 0.000
```

(6)
First-principles (PBE) data for crystalline Sr2Hg3Pb3 at its relaxed geometry, as listed in Alexandria via LeMat-Bulk.

Results
M_tot   0.000 μB/cell
Space-group type   Pmmm
Density   9.7 g cm⁻³
Electronic total energy   -18.016 eV per formula unit

```
Sr2Hg3Pb3
1.0
-1.145 3.279 3.404
-4.867 -1.006 -0.669
0.494 -6.965 6.875
Pb Sr Hg
3 2 3
Cartesian
-0.326 -1.843 5.140
-2.187 -3.985 3.103
-2.434 -0.503 -0.334
0.374 -5.265 5.197
0.121 -1.700 1.678
-2.636 -4.080 6.517
-2.882 -0.612 3.094
-0.573 1.640 1.702
```

(7)
First-principles (PBE) data for crystalline BaLiS2 at its relaxed geometry, as listed in Alexandria via LeMat-Bulk.

Results
M_tot   0.000 μB/cell
Space-group type   I4_1/amd
Density   3.3 g cm⁻³
Formation energy (no corrections)   -1.191 eV/atom

```
BaLiS2
1.0
5.343 0.000 0.000
0.000 5.343 0.000
2.672 2.672 7.323
Ba Li S
2 2 4
Cartesian
0.000 0.000 0.000
5.343 2.672 3.661
2.672 5.343 3.661
2.672 2.672 0.000
4.007 5.345 5.492
6.679 5.342 5.492
2.673 4.007 1.831
2.670 1.336 1.831
```

(8)
First-principles (PBE) data for crystalline Tb3Pm6Tl at its relaxed geometry, as listed in Alexandria via LeMat-Bulk.

Results
M_tot   0.000 μB/cell
Excess energy over the best structure of this formula in the dataset   0.0080 eV per atom
Space-group type   Cmc2_1
Density   7.9 g cm⁻³

```
Tb3Pm6Tl
1.0
-0.904 -1.913 -6.067
-8.517 -6.820 3.419
-0.440 10.916 -3.376
Tl Pm Tb
2 12 6
Cartesian
-1.735 8.075 -2.643
-7.769 -5.136 -0.981
-3.468 4.323 -6.171
-5.331 -4.165 -3.607
-8.650 -2.647 -3.591
-6.452 -2.264 -0.247
-4.693 6.005 -3.506
-1.325 9.031 -8.180
-2.896 1.231 -3.740
-8.650 -7.088 1.396
-6.614 1.695 0.070
-6.162 2.724 -3.724
-1.373 4.487 -3.522
-3.348 0.202 0.054
-7.298 3.781 -6.786
-5.709 -0.612 -2.920
-3.849 3.436 -1.071
-2.982 -2.485 -2.051
-1.378 1.074 -6.814
-8.902 0.223 -2.023
```